Below is a relaxed LiScCu4Si2 crystal, with properties calculated at the GGA-PBE level.

Calculated values
Total DFT energy (no corrections) in eV per atom: -4.5268

Unit cell a=4.127 b=4.127 c=6.060 alpha=90.00 beta=90.00 gamma=90.00
Space group P4/mmm (No. 123)
Unique sites:
1 Li 0.000 0.000 0.000 x1
2 Sc 0.500 0.500 0.500 x1
3 Cu 0.000 0.500 0.223 x4
4 Si 0.000 0.000 0.500 x1
5 Si 0.500 0.500 0.000 x1